Entry 1:
{
  "formula": "PmThGaPt",
  "functional": "GGA-PBE",
  "state": "relaxed",
  "crystal_system": "cubic",
  "ef_ev_per_atom": -0.685,
  "lattice": [[-1.9477, 3.6390, -3.1037], [-5.0977, 0.8135, -0.1434], [-1.9828, 4.3216, 2.0150]],
  "species": ["Pm", "Ga", "Th", "Pt"],
  "frac_coords": [[0.5000, 0.5000, 0.5000], [0.2500, 0.2500, 0.2500], [0.0000, 0.0000, 0.0000], [0.7500, 0.7500, 0.7500]]
}


Entry 2:
{
  "formula": "SrLi3Nb",
  "functional": "GGA-PBE",
  "state": "relaxed",
  "crystal_system": "cubic",
  "de_polymorph_ev_per_atom": 0.603,
  "ef_ev_per_atom": 1.429,
  "lattice": [[4.8493, 0.0000, 0.0000], [0.0000, 4.8493, 0.0000], [0.0000, 0.0000, 4.8493]],
  "species": ["Li", "Li", "Li", "Sr", "Nb"],
  "frac_coords": [[0.5000, 0.0000, 0.0000], [0.0000, 0.5000, 0.0000], [0.0000, 0.0000, 0.5000], [0.0000, 0.0000, 0.0000], [0.5000, 0.5000, 0.5000]]
}


Entry 3:
{
  "formula": "YCdCo",
  "functional": "GGA-PBE",
  "state": "relaxed",
  "crystal_system": "hexagonal",
  "ef_ev_per_atom": 0.014,
  "lattice": [[4.5011, 0.0000, 0.0000], [-2.2505, 3.8980, 0.0000], [0.0000, 0.0000, 3.5757]],
  "species": ["Cd", "Y", "Co"],
  "frac_coords": [[0.0000, 0.0000, 0.1664], [0.3333, 0.6667, 0.6665], [0.6667, 0.3333, 0.1671]]
}


Entry 4:
{
  "formula": "ScCdPd2Se",
  "functional": "GGA-PBE",
  "state": "relaxed",
  "total_energy_ev_per_atom": -4.17,
  "crystal_system": "tetragonal",
  "lattice": [[4.8931, 0.0000, 0.0000], [0.0000, 4.9798, 0.0000], [0.0000, 0.0000, 4.8931]],
  "species": ["Pd", "Pd", "Se", "Sc", "Cd"],
  "frac_coords": [[0.5000, 0.0000, 0.0000], [0.0000, 0.0000, 0.5000], [0.0000, 0.5000, 0.0000], [0.0000, 0.0000, 0.0000], [0.5000, 0.5000, 0.5000]]
}


Entry 5:
{
  "formula": "DyFeGe4",
  "functional": "GGA-PBE",
  "state": "relaxed",
  "crystal_system": "tetragonal",
  "ef_ev_per_atom": 0.065,
  "lattice": [[5.0586, 0.0000, 0.0000], [0.0000, 5.0586, 0.0000], [0.0000, 0.0000, 9.7831]],
  "species": ["Dy", "Dy", "Ge", "Ge", "Ge", "Ge", "Ge", "Ge", "Ge", "Ge", "Fe", "Fe"],
  "frac_coords": [[0.5000, 0.5000, 0.0000], [0.0000, 0.0000, 0.5000], [0.5000, 0.7555, 0.6965], [0.2555, 0.0000, 0.1965], [0.7555, 0.5000, 0.3035], [0.0000, 0.2555, 0.8035], [0.5000, 0.2445, 0.6965], [0.2445, 0.5000, 0.3035], [0.0000, 0.7445, 0.8035], [0.7445, 0.0000, 0.1965], [0.0000, 0.0000, 0.0000], [0.5000, 0.5000, 0.5000]]
}


Entry 6:
{
  "formula": "PmPrCuPt",
  "functional": "GGA-PBE",
  "state": "relaxed",
  "crystal_system": "cubic",
  "de_polymorph_ev_per_atom": 0.067,
  "ef_ev_per_atom": -0.616,
  "lattice": [[-1.8236, -4.3293, -1.9820], [-0.0085, -4.2726, 2.7823], [-4.4040, -1.9260, 1.7007]],
  "species": ["Pr", "Pm", "Cu", "Pt"],
  "frac_coords": [[0.5000, 0.5000, 0.5000], [0.0000, 0.0000, 0.0000], [0.2500, 0.2500, 0.2500], [0.7500, 0.7500, 0.7500]]
}


Entry 7:
{
  "formula": "ZrTlAsClO",
  "functional": "GGA-PBE",
  "state": "relaxed",
  "crystal_system": "triclinic",
  "de_polymorph_ev_per_atom": 0.022,
  "lattice": [[3.3554, -0.0056, 0.0025], [-1.6770, 3.4243, -0.0004], [-1.6568, -0.9118, 9.7963]],
  "species": ["As", "O", "Cl", "Tl", "Zr"],
  "frac_coords": [[0.6252, 0.9979, 0.6491], [0.4401, 0.4017, 0.8776], [0.8553, 0.0350, 0.0783], [0.7859, 0.5419, 0.4225], [0.1216, 0.7647, 0.8768]]
}


Entry 8:
{
  "formula": "RbNiP",
  "functional": "GGA-PBE",
  "state": "relaxed",
  "crystal_system": "orthorhombic",
  "ef_ev_per_atom": -0.387,
  "lattice": [[-3.2844, -2.2929, -0.2661], [2.6148, -4.1980, 3.8986], [-5.3239, 6.4106, 10.4737]],
  "species": ["P", "P", "P", "P", "Rb", "Rb", "Rb", "Rb", "Ni", "Ni", "Ni", "Ni"],
  "frac_coords": [[0.2500, 0.1086, 0.9025], [0.7500, 0.6086, 0.5975], [0.2500, 0.3914, 0.4025], [0.7500, 0.8914, 0.0975], [0.7500, 0.6046, 0.8561], [0.7500, 0.8954, 0.3561], [0.2500, 0.3955, 0.1439], [0.2500, 0.1046, 0.6439], [0.7500, 0.0890, 0.9621], [0.2500, 0.9110, 0.0379], [0.2500, 0.5890, 0.5379], [0.7500, 0.4110, 0.4621]]
}


Entry 9:
{
  "formula": "SiTcNO2",
  "functional": "GGA-PBE",
  "state": "relaxed",
  "total_energy_ev_per_atom": -7.38,
  "crystal_system": "tetragonal",
  "lattice": [[-2.4840, -1.1170, -2.1167], [2.1386, 0.3337, -2.6858], [1.2364, -3.7358, 0.5204]],
  "species": ["O", "O", "Tc", "Si", "N"],
  "frac_coords": [[0.5000, 0.0000, 0.0000], [0.0000, 0.5000, 0.0000], [0.5000, 0.5000, 0.5000], [0.0000, 0.0000, 0.0000], [0.0000, 0.0000, 0.5000]]
}


Entry 10:
{
  "formula": "MgScTa",
  "functional": "GGA-PBE",
  "state": "relaxed",
  "crystal_system": "cubic",
  "de_polymorph_ev_per_atom": 1.018,
  "ef_ev_per_atom": 1.078,
  "lattice": [[4.6337, 0.0000, 0.0000], [2.3168, 4.0129, 0.0000], [2.3168, 1.3376, 3.7834]],
  "species": ["Ta", "Sc", "Mg"],
  "frac_coords": [[0.5000, 0.5000, 0.5000], [0.0000, 0.0000, 0.0000], [0.7500, 0.7500, 0.7500]]
}


Entry 11:
{
  "formula": "MoIrOs2",
  "functional": "GGA-PBE",
  "state": "relaxed",
  "crystal_system": "trigonal",
  "de_polymorph_ev_per_atom": 0.155,
  "ef_ev_per_atom": 0.055,
  "lattice": [[9.1419, -0.0151, -0.0088], [8.7328, 2.7042, -0.0088], [8.7328, 1.3138, 2.3636]],
  "species": ["Os", "Os", "Mo", "Ir"],
  "frac_coords": [[0.2507, 0.2507, 0.2507], [0.9982, 0.9982, 0.9982], [0.7506, 0.7506, 0.7506], [0.5005, 0.5005, 0.5005]]
}


Entry 12:
{
  "formula": "BaHg2Br8",
  "functional": "GGA-PBE",
  "state": "relaxed",
  "total_energy_ev_per_atom": -2.14,
  "crystal_system": "tetragonal",
  "lattice": [[-1.8644, 0.4625, -7.7485], [6.7637, -3.8132, -1.8550], [-5.4263, -3.7942, 5.1915]],
  "species": ["Br", "Br", "Br", "Br", "Br", "Br", "Br", "Br", "Hg", "Hg", "Ba"],
  "frac_coords": [[0.7174, 0.2012, 0.7799], [0.0625, 0.5787, 0.7799], [0.5787, 0.7174, 0.7799], [0.2826, 0.4213, 0.2201], [0.2012, 0.0625, 0.7799], [0.7988, 0.2826, 0.2201], [0.4213, 0.9375, 0.2201], [0.9375, 0.7988, 0.2201], [0.2500, 0.7500, 0.5000], [0.7500, 0.2500, 0.5000], [0.5000, 0.5000, 0.0000]]
}


Entry 13:
{
  "formula": "NaSr3Sb",
  "functional": "GGA-PBE",
  "state": "relaxed",
  "crystal_system": "cubic",
  "de_polymorph_ev_per_atom": 0.599,
  "lattice": [[6.1389, 0.0000, 0.0000], [0.0000, 6.1389, 0.0000], [0.0000, 0.0000, 6.1389]],
  "species": ["Sr", "Sr", "Sr", "Na", "Sb"],
  "frac_coords": [[0.0000, 0.0000, 0.5000], [0.5000, 0.0000, 0.0000], [0.0000, 0.5000, 0.0000], [0.0000, 0.0000, 0.0000], [0.5000, 0.5000, 0.5000]]
}


Entry 14:
{
  "formula": "Li2Pr5In5",
  "functional": "GGA-PBE",
  "state": "relaxed",
  "crystal_system": "monoclinic",
  "ef_ev_per_atom": -0.305,
  "lattice": [[5.2928, 0.0000, 0.0000], [-2.6464, 5.0811, -1.1908], [0.0000, -5.2686, 13.6230]],
  "species": ["Pr", "Pr", "Pr", "Pr", "Pr", "In", "In", "In", "In", "In", "Li", "Li"],
  "frac_coords": [[0.7405, 0.4811, 0.3102], [0.5000, 0.0000, 0.5000], [0.2595, 0.5189, 0.6898], [0.3226, 0.6452, 0.9800], [0.6774, 0.3548, 0.0200], [0.8693, 0.7387, 0.5792], [0.1307, 0.2613, 0.4208], [0.6391, 0.2782, 0.7770], [0.3609, 0.7218, 0.2230], [0.0000, 0.0000, 0.0000], [0.0331, 0.0661, 0.2005], [0.9669, 0.9339, 0.7995]]
}


Entry 15:
{
  "formula": "GeMoIr",
  "functional": "GGA-PBE",
  "state": "relaxed",
  "crystal_system": "hexagonal",
  "de_polymorph_ev_per_atom": 0.000,
  "ef_ev_per_atom": -0.164,
  "lattice": [[2.8138, 0.0000, 0.0000], [0.0000, 4.3062, 0.0000], [0.0000, -2.1531, 3.7293]],
  "species": ["Mo", "Ir", "Ge"],
  "frac_coords": [[0.6668, 0.3333, 0.6667], [0.1667, 0.0000, 0.0000], [0.1665, 0.6667, 0.3333]]
}


Entry 16:
{
  "formula": "Er3Sb2H2",
  "functional": "GGA-PBE",
  "state": "relaxed",
  "total_energy_ev_per_atom": -4.85,
  "crystal_system": "monoclinic",
  "lattice": [[8.1774, 0.0000, -0.3393], [0.0000, 6.9832, 0.0000], [3.2640, 0.0000, 5.2335]],
  "species": ["Er", "Er", "Er", "Er", "Er", "Er", "H", "H", "H", "H", "Sb", "Sb", "Sb", "Sb"],
  "frac_coords": [[0.2328, 0.4394, 0.6404], [0.5000, 0.5000, 0.0000], [0.2672, 0.9394, 0.3596], [0.0000, 0.0000, 0.0000], [0.7672, 0.5606, 0.3596], [0.7328, 0.0606, 0.6404], [0.6545, 0.3549, 0.6563], [0.3455, 0.6451, 0.3437], [0.8455, 0.8549, 0.3437], [0.1545, 0.1451, 0.6563], [0.3886, 0.8111, 0.7719], [0.1114, 0.3111, 0.2281], [0.8886, 0.6889, 0.7719], [0.6114, 0.1889, 0.2281]]
}


The following total magnetization values (in μB/atom) correspond, in order, to the records above: 0.0004, 0.4000, 0.1820, 0.0000, 0.2141, 0.0000, 0.0000, 0.0000, 0.7594, 0.0649, 0.0000, 0.0000, 0.0000, 0.0001, 0.0000, 0.0000.
The following D(E_F) values (in states/eV/atom) correspond, in order, to the records above: 0.77, 1.50, 1.15, 0.57, 0.66, 0.61, 0.19, 0.61, 0.20, 1.73, 0.93, 0.42, 1.18, 0.80, 0.61, 0.45.